(1)
# PBE-GGA LaDy9Th2, optimized geometry
# - total magnetic moment (μB/cell) = 0.00
# - formation energy (eV/atom) = 0.0320
data_LaDy9Th2
_cell_length_a 5.0371
_cell_length_b 5.0371
_cell_length_c 15.1341
_cell_angle_alpha 90.00
_cell_angle_beta 90.00
_cell_angle_gamma 90.00
_space_group_name_H-M_alt 'P 1'
_space_group_IT_number 1
loop_
_space_group_symop_operation_xyz
'x,y,z'
loop_
_atom_site_label
_atom_site_type_symbol
_atom_site_fract_x
_atom_site_fract_y
_atom_site_fract_z
La1 La 0.0000 0.0000 0.0000
Dy1 Dy 0.5000 0.5000 0.0000
Dy2 Dy 0.5000 0.5000 0.3347
Dy3 Dy 0.5000 0.5000 0.6653
Dy4 Dy 0.5000 0.0000 0.1719
Dy5 Dy 0.5000 0.0000 0.5000
Dy6 Dy 0.5000 0.0000 0.8281
Dy7 Dy 0.0000 0.5000 0.1719
Dy8 Dy 0.0000 0.5000 0.5000
Dy9 Dy 0.0000 0.5000 0.8281
Th1 Th 0.0000 0.0000 0.3346
Th2 Th 0.0000 0.0000 0.6654


(2)
# PBE-GGA La3Dy3Th2, optimized geometry
# - total magnetic moment (μB/cell) = 0.00
# - formation energy (eV/atom) = 0.0377
# - energy relative to the lowest polymorph listed for this composition (kJ/mol of formula units) = 0
data_La3Dy3Th2
_cell_length_a 5.0633
_cell_length_b 5.1224
_cell_length_c 11.0119
_cell_angle_alpha 103.45
_cell_angle_beta 103.29
_cell_angle_gamma 90.00
_space_group_name_H-M_alt 'P 1'
_space_group_IT_number 1
loop_
_space_group_symop_operation_xyz
'x,y,z'
loop_
_atom_site_label
_atom_site_type_symbol
_atom_site_fract_x
_atom_site_fract_y
_atom_site_fract_z
La1 La 0.6296 0.6296 0.2592
La2 La 0.3704 0.3704 0.7408
La3 La 0.5000 0.0000 0.0000
Dy1 Dy 0.1296 0.1296 0.2591
Dy2 Dy 0.0000 0.5000 0.0000
Dy3 Dy 0.8704 0.8704 0.7409
Th1 Th 0.7495 0.2495 0.4990
Th2 Th 0.2505 0.7505 0.5010


(3)
# PBE-GGA La4Dy5Th4, optimized geometry
# - total magnetic moment (μB/cell) = 0.00
# - formation energy (eV/atom) = 0.0402
data_La4Dy5Th4
_cell_length_a 5.0973
_cell_length_b 9.5658
_cell_length_c 9.5658
_cell_angle_alpha 85.93
_cell_angle_beta 74.55
_cell_angle_gamma 74.55
_space_group_name_H-M_alt 'P 1'
_space_group_IT_number 1
loop_
_space_group_symop_operation_xyz
'x,y,z'
loop_
_atom_site_label
_atom_site_type_symbol
_atom_site_fract_x
_atom_site_fract_y
_atom_site_fract_z
La1 La 0.7655 0.3876 0.0814
La2 La 0.2345 0.6124 0.9186
La3 La 0.8469 0.9186 0.3876
La4 La 0.1531 0.0814 0.6124
Dy1 Dy 0.6958 0.8402 0.7682
Dy2 Dy 0.3042 0.1598 0.2318
Dy3 Dy 0.0000 0.0000 0.0000
Dy4 Dy 0.5360 0.7682 0.1598
Dy5 Dy 0.4640 0.2318 0.8402
Th1 Th 0.9251 0.4643 0.6855
Th2 Th 0.6106 0.3145 0.4643
Th3 Th 0.0749 0.5357 0.3145
Th4 Th 0.3894 0.6855 0.5357